! RbSrCoO4 PBE with a Hubbard U relaxed; values from VASP
! DFT total energy (eV per atom): -5.16
! D(E_F) (states/eV/cell): 8.40
&SYSTEM
  ibrav = 0, nat = 7, ntyp = 4
/
ATOMIC_SPECIES
Rb 85.47 Rb.upf
Sr 87.62 Sr.upf
Co 58.93 Co.upf
O 16.00 O.upf
CELL_PARAMETERS angstrom
0.000 4.667 4.667
4.667 0.000 4.667
4.667 4.667 0.000
ATOMIC_POSITIONS crystal
Rb 0.000 0.000 0.000
Sr 0.250 0.250 0.250
Co 0.500 0.500 0.500
O 0.393 0.393 0.393
O 0.393 0.393 0.822
O 0.393 0.822 0.393
O 0.822 0.393 0.393